VASP calculation (GGA-PBEsol) on a relaxed structure of Bi4Br2O5.

a b c (Å): 10.8010 5.6146 14.4664
angles (deg): 90.00 97.52 90.00
Sites, in units of the cell vectors:
Bi (0.0589, 0.0000, 0.2190)
Bi (0.0978, 0.9784, 0.9558)
Bi (0.1518, 0.0731, 0.6939)
Bi (0.2257, 0.5589, 0.3758)
Bi (0.2366, 0.5273, 0.1198)
Bi (0.2953, 0.5721, 0.8473)
Bi (0.4077, 0.0631, 0.2910)
Bi (0.4187, 0.0665, 0.5435)
Bi (0.5813, 0.5665, 0.4565)
Bi (0.5923, 0.5631, 0.7090)
Bi (0.7047, 0.0721, 0.1527)
Bi (0.7634, 0.0273, 0.8802)
Bi (0.7743, 0.0589, 0.6242)
Bi (0.8482, 0.5731, 0.3061)
Bi (0.9022, 0.4784, 0.0442)
Bi (0.9411, 0.5000, 0.7810)
Br (0.1225, 0.0852, 0.4508)
Br (0.2851, 0.5676, 0.6182)
Br (0.3774, 0.0829, 0.0629)
Br (0.4501, 0.0670, 0.7752)
Br (0.5499, 0.5670, 0.2248)
Br (0.6226, 0.5829, 0.9371)
Br (0.7149, 0.0676, 0.3818)
Br (0.8775, 0.5852, 0.5492)
O (0.0386, 0.6296, 0.2973)
O (0.0744, 0.7819, 0.0948)
O (0.0766, 0.2788, 0.0894)
O (0.1469, 0.8128, 0.8003)
O (0.1569, 0.3118, 0.8093)
O (0.2050, 0.6179, 0.9664)
O (0.2435, 0.2993, 0.2633)
O (0.2513, 0.8085, 0.2571)
O (0.4182, 0.8217, 0.4194)
O (0.4215, 0.3095, 0.4202)
O (0.5785, 0.8095, 0.5798)
O (0.5818, 0.3217, 0.5806)
O (0.7487, 0.3085, 0.7429)
O (0.7565, 0.7993, 0.7367)
O (0.7950, 0.1179, 0.0336)
O (0.8431, 0.8118, 0.1907)
O (0.8531, 0.3128, 0.1997)
O (0.9234, 0.7788, 0.9106)
O (0.9256, 0.2819, 0.9052)
O (0.9614, 0.1296, 0.7027)

The total energy comes out at -0.2020 Ha/atom.

---

VASP calculation (GGA-PBEsol) on a relaxed structure of BiBrO.

a b c (Å): 3.9042 3.9042 8.2346
angles (deg): 90.00 90.00 90.00
Sites, in units of the cell vectors:
Bi (0.2500, 0.2500, 0.1527)
Bi (0.7500, 0.7500, 0.8473)
Br (0.2500, 0.2500, 0.6607)
Br (0.7500, 0.7500, 0.3393)
O (0.2500, 0.7500, 0.0000)
O (0.7500, 0.2500, 0.0000)

The total energy comes out at -0.1828 Ha/atom.

---

VASP calculation (GGA-PBEsol) on a relaxed structure of BiSe2BrO.

a b c (Å): 5.5656 5.5656 5.5723
angles (deg): 90.00 90.00 90.00
Sites, in units of the cell vectors:
Bi (0.0000, 0.0000, 0.0000)
Se (0.0000, 0.5000, 0.0000)
Se (0.5000, 0.0000, 0.0000)
Br (0.0000, 0.0000, 0.5000)
O (0.5000, 0.5000, 0.5000)

The total energy comes out at -0.1073 Ha/atom.

---

VASP calculation (GGA-PBEsol) on a relaxed structure of Bi6Se3Br2O14.

a b c (Å): 7.1072 10.9474 12.0982
angles (deg): 67.74 81.92 77.58
Sites, in units of the cell vectors:
Bi (0.0492, 0.1392, 0.3569)
Bi (0.1581, 0.7556, 0.3893)
Bi (0.2055, 0.7936, 0.9336)
Bi (0.3062, 0.4160, 0.0055)
Bi (0.3585, 0.0396, 0.6235)
Bi (0.4357, 0.6782, 0.6764)
Bi (0.5643, 0.3218, 0.3236)
Bi (0.6415, 0.9604, 0.3765)
Bi (0.6938, 0.5840, 0.9945)
Bi (0.7945, 0.2064, 0.0664)
Bi (0.8419, 0.2444, 0.6107)
Bi (0.9508, 0.8608, 0.6431)
Se (0.0266, 0.5173, 0.2063)
Se (0.2631, 0.4051, 0.5593)
Se (0.3282, 0.0471, 0.1330)
Se (0.6718, 0.9529, 0.8670)
Se (0.7369, 0.5949, 0.4407)
Se (0.9734, 0.4827, 0.7937)
Br (0.0933, 0.1098, 0.8470)
Br (0.4268, 0.6896, 0.1658)
Br (0.5732, 0.3104, 0.8342)
Br (0.9067, 0.8902, 0.1530)
O (0.0669, 0.0545, 0.5658)
O (0.0744, 0.5926, 0.0505)
O (0.1247, 0.1680, 0.1202)
O (0.1582, 0.2786, 0.5522)
O (0.1770, 0.5362, 0.8050)
O (0.1782, 0.7334, 0.5727)
O (0.1987, 0.5263, 0.4251)
O (0.2001, 0.3762, 0.2262)
O (0.2257, 0.8305, 0.7385)
O (0.3125, 0.9556, 0.2858)
O (0.4117, 0.6105, 0.9161)
O (0.4647, 0.1276, 0.4290)
O (0.4888, 0.1433, 0.1361)
O (0.4972, 0.3402, 0.5260)
O (0.5028, 0.6598, 0.4740)
O (0.5112, 0.8567, 0.8639)
O (0.5353, 0.8724, 0.5710)
O (0.5883, 0.3895, 0.0839)
O (0.6875, 0.0444, 0.7142)
O (0.7743, 0.1695, 0.2615)
O (0.7999, 0.6238, 0.7738)
O (0.8013, 0.4737, 0.5749)
O (0.8218, 0.2666, 0.4273)
O (0.8230, 0.4638, 0.1950)
O (0.8418, 0.7214, 0.4478)
O (0.8753, 0.8320, 0.8798)
O (0.9256, 0.4074, 0.9495)
O (0.9331, 0.9455, 0.4342)

The total energy comes out at -0.2094 Ha/atom.

---

VASP calculation (GGA-PBEsol) on a relaxed structure of TaBi4BrO8.

a b c (Å): 5.4844 5.5218 29.0759
angles (deg): 90.00 90.00 90.00
Sites, in units of the cell vectors:
Ta (0.0000, 0.0166, 0.2500)
Ta (0.0000, 0.9834, 0.7500)
Ta (0.5000, 0.4834, 0.7500)
Ta (0.5000, 0.5166, 0.2500)
Bi (0.0087, 0.0094, 0.5703)
Bi (0.0087, 0.9906, 0.0703)
Bi (0.0200, 0.4507, 0.3414)
Bi (0.0200, 0.5493, 0.8414)
Bi (0.4800, 0.0493, 0.8414)
Bi (0.4800, 0.9507, 0.3414)
Bi (0.4913, 0.4906, 0.0703)
Bi (0.4913, 0.5094, 0.5703)
Bi (0.5087, 0.4906, 0.4297)
Bi (0.5087, 0.5094, 0.9297)
Bi (0.5200, 0.0493, 0.6586)
Bi (0.5200, 0.9507, 0.1586)
Bi (0.9800, 0.4507, 0.1586)
Bi (0.9800, 0.5493, 0.6586)
Bi (0.9913, 0.0094, 0.9297)
Bi (0.9913, 0.9906, 0.4297)
Br (0.0000, 0.5000, 0.0000)
Br (0.0000, 0.5000, 0.5000)
Br (0.5000, 0.0000, 0.0000)
Br (0.5000, 0.0000, 0.5000)
O (0.0953, 0.0659, 0.3150)
O (0.0953, 0.9341, 0.8150)
O (0.2458, 0.2937, 0.2352)
O (0.2458, 0.7063, 0.7352)
O (0.2470, 0.2417, 0.1090)
O (0.2470, 0.7583, 0.6090)
O (0.2488, 0.2512, 0.8931)
O (0.2488, 0.7488, 0.3931)
O (0.2512, 0.2488, 0.3931)
O (0.2512, 0.7512, 0.8931)
O (0.2530, 0.2583, 0.6090)
O (0.2530, 0.7417, 0.1090)
O (0.2542, 0.2063, 0.7352)
O (0.2542, 0.7937, 0.2352)
O (0.4047, 0.4341, 0.8150)
O (0.4047, 0.5659, 0.3150)
O (0.5953, 0.4341, 0.6850)
O (0.5953, 0.5659, 0.1850)
O (0.7458, 0.2063, 0.7648)
O (0.7458, 0.7937, 0.2648)
O (0.7470, 0.2583, 0.8910)
O (0.7470, 0.7417, 0.3910)
O (0.7488, 0.2488, 0.1069)
O (0.7488, 0.7512, 0.6069)
O (0.7512, 0.2512, 0.6069)
O (0.7512, 0.7488, 0.1069)
O (0.7530, 0.2417, 0.3910)
O (0.7530, 0.7583, 0.8910)
O (0.7542, 0.2937, 0.2648)
O (0.7542, 0.7063, 0.7648)
O (0.9047, 0.0659, 0.1850)
O (0.9047, 0.9341, 0.6850)

The total energy comes out at -0.2550 Ha/atom.

---

VASP calculation (GGA-PBEsol) on a relaxed structure of Bi4Te2Br2O9.

a b c (Å): 5.4992 5.4992 9.2873
angles (deg): 90.00 90.00 90.00
Sites, in units of the cell vectors:
Bi (0.0000, 0.0000, 0.0000)
Bi (0.0000, 0.5000, 0.7218)
Bi (0.5000, 0.0000, 0.7218)
Bi (0.5000, 0.5000, 0.9840)
Te (0.0000, 0.0000, 0.4221)
Te (0.5000, 0.5000, 0.4731)
Br (0.0000, 0.5000, 0.1866)
Br (0.5000, 0.0000, 0.1866)
O (0.2307, 0.2307, 0.5200)
O (0.2307, 0.7693, 0.5200)
O (0.2427, 0.2427, 0.8675)
O (0.2427, 0.7573, 0.8675)
O (0.5000, 0.5000, 0.6750)
O (0.7573, 0.2427, 0.8675)
O (0.7573, 0.7573, 0.8675)
O (0.7693, 0.2307, 0.5200)
O (0.7693, 0.7693, 0.5200)

The total energy comes out at -0.2051 Ha/atom.

---

VASP calculation (GGA-PBEsol) on a relaxed structure of Bi10Te2Br4O17.

a b c (Å): 18.7962 18.7962 18.7962
angles (deg): 163.07 163.07 24.03
Sites, in units of the cell vectors:
Bi (0.0000, 0.0000, 0.0000)
Bi (0.1088, 0.1088, 0.0000)
Bi (0.1795, 0.6795, 0.5000)
Bi (0.2492, 0.2492, 0.0000)
Bi (0.4297, 0.9297, 0.5000)
Bi (0.4950, 0.4950, 0.0000)
Bi (0.6087, 0.6087, 0.0000)
Bi (0.6795, 0.1795, 0.5000)
Bi (0.7488, 0.7488, 0.0000)
Bi (0.9297, 0.4297, 0.5000)
Te (0.3685, 0.3685, 0.0000)
Te (0.8557, 0.8557, 0.0000)
Br (0.0494, 0.5494, 0.5000)
Br (0.3007, 0.8007, 0.5000)
Br (0.5494, 0.0494, 0.5000)
Br (0.8007, 0.3007, 0.5000)
O (0.1116, 0.1116, 0.4608)
O (0.1116, 0.6507, 0.0000)
O (0.2092, 0.2092, 0.4837)
O (0.2092, 0.7255, 0.0000)
O (0.3877, 0.3877, 0.5001)
O (0.3877, 0.8877, 0.0000)
O (0.4197, 0.4197, 0.0000)
O (0.4682, 0.4682, 0.4998)
O (0.4682, 0.9683, 0.0000)
O (0.6507, 0.1116, 0.0000)
O (0.6507, 0.6507, 0.5392)
O (0.7255, 0.2092, 0.0000)
O (0.7255, 0.7255, 0.5163)
O (0.8877, 0.3877, 0.0000)
O (0.8877, 0.8877, 0.4999)
O (0.9683, 0.4682, 0.0000)
O (0.9683, 0.9683, 0.5002)

The total energy comes out at -0.2072 Ha/atom.

---

VASP calculation (GGA-PBEsol) on a relaxed structure of BiW2Br8O2.

a b c (Å): 7.5617 9.4194 11.3182
angles (deg): 93.34 100.90 90.25
Sites, in units of the cell vectors:
Bi (0.1233, 0.3221, 0.4263)
Bi (0.8767, 0.6779, 0.5737)
W (0.2074, 0.8858, 0.8508)
W (0.2935, 0.1096, 0.1511)
W (0.7065, 0.8904, 0.8489)
W (0.7926, 0.1142, 0.1492)
Br (0.1401, 0.9413, 0.6333)
Br (0.1517, 0.6201, 0.4352)
Br (0.1888, 0.6252, 0.7989)
Br (0.2305, 0.1551, 0.9222)
Br (0.2735, 0.8427, 0.0793)
Br (0.3118, 0.3702, 0.2155)
Br (0.3435, 0.0488, 0.3652)
Br (0.3646, 0.3131, 0.6274)
Br (0.6354, 0.6869, 0.3726)
Br (0.6565, 0.9512, 0.6348)
Br (0.6882, 0.6298, 0.7845)
Br (0.7265, 0.1573, 0.9207)
Br (0.7695, 0.8449, 0.0778)
Br (0.8112, 0.3748, 0.2011)
Br (0.8483, 0.3799, 0.5648)
Br (0.8599, 0.0587, 0.3667)
O (0.0416, 0.1096, 0.1454)
O (0.4575, 0.8900, 0.8513)
O (0.5425, 0.1100, 0.1487)
O (0.9584, 0.8904, 0.8546)

The total energy comes out at -0.1932 Ha/atom.

---

VASP calculation (GGA-PBEsol) on a relaxed structure of BiWBrO2.

a b c (Å): 4.1387 4.1387 5.8321
angles (deg): 90.00 90.00 90.00
Sites, in units of the cell vectors:
Bi (0.0000, 0.0000, 0.0000)
W (0.0000, 0.0000, 0.5000)
Br (0.5000, 0.5000, 0.5000)
O (0.0000, 0.5000, 0.0000)
O (0.5000, 0.0000, 0.0000)

The total energy comes out at -0.1979 Ha/atom.

---

VASP calculation (GGA-PBEsol) on a relaxed structure of BiOsBr3.

a b c (Å): 5.6462 5.6462 5.6462
angles (deg): 90.00 90.00 90.00
Sites, in units of the cell vectors:
Bi (0.0000, 0.0000, 0.0000)
Os (0.5000, 0.5000, 0.5000)
Br (0.0000, 0.0000, 0.5000)
Br (0.0000, 0.5000, 0.0000)
Br (0.5000, 0.0000, 0.0000)

The total energy comes out at -0.1155 Ha/atom.

---

VASP calculation (GGA-PBEsol) on a relaxed structure of Bi2OsPdBr.

a b c (Å): 5.4632 5.4632 4.4794
angles (deg): 90.00 90.00 90.00
Sites, in units of the cell vectors:
Bi (0.0000, 0.5000, 0.0000)
Bi (0.5000, 0.0000, 0.0000)
Os (0.0000, 0.0000, 0.5000)
Pd (0.5000, 0.5000, 0.5000)
Br (0.5000, 0.5000, 0.0000)

The total energy comes out at -0.1466 Ha/atom.

---

VASP calculation (GGA-PBEsol) on a relaxed structure of Bi3PBr.

a b c (Å): 5.5524 5.5524 5.5524
angles (deg): 90.00 90.00 90.00
Sites, in units of the cell vectors:
Bi (0.0000, 0.0000, 0.5000)
Bi (0.0000, 0.5000, 0.0000)
Bi (0.5000, 0.0000, 0.0000)
P (0.5000, 0.5000, 0.5000)
Br (0.0000, 0.0000, 0.0000)

The total energy comes out at -0.1059 Ha/atom.

---

| no. | magnetic moment (μB per formula unit) | calculated density (g cm⁻³) |
| --- | --- | --- |
| 1 | 0.000 | 8.22 |
| 2 | 0.000 | 8.07 |
| 3 | 3.799 | 4.45 |
| 4 | 0.000 | 7.33 |
| 5 | 0.000 | 9.24 |
| 6 | 0.001 | 8.25 |
| 7 | 0.000 | 8.66 |
| 8 | 2.934 | 5.24 |
| 9 | 3.781 | 8.39 |
| 10 | 4.324 | 5.89 |
| 11 | 1.722 | 9.87 |
| 12 | 0.000 | 7.16 |